# 1
Density functional theory data (PBE) for a relaxed structure of Mn2ReAgAu.

The structure in extended XYZ format:
```
5
Lattice="4.534 0.000 0.000 0.000 4.798 0.000 0.000 0.000 4.534" Properties=species:S:1:pos:R:3 pbc="T T T"
Re 0.000 2.399 0.000
Mn 0.000 0.000 2.267
Mn 2.267 0.000 0.000
Au 2.267 2.399 2.267
Ag 0.000 0.000 0.000
```

Values from the calculation:
SG   No. 123
ΔH_f (0 K)   59.700 kcal/mol of atoms

---

# 2
Density functional theory data (PBE) for a relaxed structure of MnAg2Au4S2.

The structure in extended XYZ format:
```
9
Lattice="-1.341 -2.006 1.772 2.274 -0.839 -1.757 13.161 4.398 14.933" Properties=species:S:1:pos:R:3 pbc="T T T"
Au 1.356 -1.118 2.288
Au 7.021 2.346 7.967
Au 10.058 3.361 11.413
Au 11.483 2.266 13.779
Mn 4.101 1.370 4.653
Ag 8.410 1.239 10.293
Ag 13.138 4.391 14.908
S 4.905 0.068 6.316
S 3.035 -0.557 4.194
```

Values from the calculation:
SG   No. 156
Uncorrected formation energy   -0.100 eV/atom

---

# 3
Density functional theory data (PBE) for a relaxed structure of Sc2MnAgAu.

The structure in extended XYZ format:
```
5
Lattice="4.728 0.000 0.000 0.000 4.823 0.000 0.000 0.000 4.728" Properties=species:S:1:pos:R:3 pbc="T T T"
Sc 2.364 0.000 0.000
Sc 0.000 0.000 2.364
Au 0.000 2.411 0.000
Ag 2.364 2.411 2.364
Mn 0.000 0.000 0.000
```

Values from the calculation:
Offset from the most stable computed form   0 meV/atom
SG   No. 123
ΔH_f (0 K)   5.908 kcal/mol of atoms

---

# 4
Density functional theory data (PBE) for a relaxed structure of Sc2MnAgAu.

The structure in extended XYZ format:
```
5
Lattice="-5.052 -0.232 0.971 -0.716 -2.305 -4.277 0.657 -4.542 2.337" Properties=species:S:1:pos:R:3 pbc="T T T"
Ag -2.556 -3.539 -0.485
Sc -2.526 -0.116 0.485
Sc 0.329 -2.271 1.169
Mn -0.358 -1.152 -2.139
Au 0.000 0.000 0.000
```

Values from the calculation:
Offset from the most stable computed form   105 meV/atom
SG   No. 123
ΔH_f (0 K)   8.328 kcal/mol of atoms

---

# 5
Density functional theory data (PBE) for a relaxed structure of Mn2SiAgAu.

The structure in extended XYZ format:
```
5
Lattice="-3.012 3.846 -1.259 0.022 -1.395 -4.313 -4.046 -2.872 0.909" Properties=species:S:1:pos:R:3 pbc="T T T"
Au 0.000 0.000 0.000
Ag -3.519 -0.211 -2.332
Mn -2.023 -1.436 0.454
Mn -1.506 1.923 -0.630
Si 0.011 -0.698 -2.157
```

Values from the calculation:
SG   No. 123
Uncorrected formation energy   0.848 eV/atom

---

# 6
Density functional theory data (PBE) for a relaxed structure of MnV2AgAu.

The structure in extended XYZ format:
```
5
Lattice="4.721 0.000 0.000 0.000 4.654 0.000 0.000 0.000 4.721" Properties=species:S:1:pos:R:3 pbc="T T T"
Ag 2.360 2.327 2.360
Au 0.000 0.000 0.000
V 0.000 0.000 2.360
V 2.360 0.000 0.000
Mn 0.000 2.327 0.000
```

Values from the calculation:
SG   No. 123
ΔH_f (0 K)   40.558 kcal/mol of atoms

---

# 7
Density functional theory data (PBE) for a relaxed structure of MnZn2Ag2Au5.

The structure in extended XYZ format:
```
20
Lattice="3.461 0.000 0.000 0.000 10.194 0.000 0.000 0.000 10.194" Properties=species:S:1:pos:R:3 pbc="T T T"
Mn 0.000 5.097 5.097
Mn 0.000 0.000 0.000
Au 1.730 9.991 2.089
Au 1.730 4.894 3.008
Au 1.730 2.089 0.203
Au 1.730 5.300 7.186
Au 1.730 7.186 4.894
Au 1.730 0.000 5.097
Au 1.730 5.097 0.000
Au 1.730 8.105 9.991
Au 1.730 0.203 8.105
Au 1.730 3.008 5.300
Ag 0.000 6.849 1.752
Ag 0.000 1.752 3.345
Ag 0.000 8.442 6.849
Ag 0.000 3.345 8.442
Zn 0.000 6.547 8.744
Zn 0.000 3.647 1.450
Zn 0.000 8.744 3.647
Zn 0.000 1.450 6.547
```

Values from the calculation:
SG   No. 127
ΔH_f (0 K)   -0.819 kcal/mol of atoms

---

# 8
Density functional theory data (PBE) for a relaxed structure of ZrMnAgAu.

The structure in extended XYZ format:
```
4
Lattice="-0.999 -4.582 0.495 0.621 -2.111 4.171 -3.738 -1.337 2.546" Properties=species:S:1:pos:R:3 pbc="T T T"
Ag -1.029 -2.008 1.803
Au -3.087 -6.023 5.409
Zr 0.000 0.000 0.000
Mn -2.058 -4.015 3.606
```

Values from the calculation:
SG   No. 216
ΔH_f (0 K)   -1.689 kcal/mol of atoms

---

# 9
Density functional theory data (PBE) for a relaxed structure of AgMoAu2.

The structure in extended XYZ format:
```
4
Lattice="4.080 0.000 0.000 0.000 2.777 0.005 0.000 2.757 6.136" Properties=species:S:1:pos:R:3 pbc="T T T"
Mo 2.040 1.383 1.535
Ag 2.040 4.150 4.606
Au 0.000 2.776 0.091
Au 0.000 2.768 2.985
```

Values from the calculation:
Offset from the most stable computed form   122 meV/atom
SG   No. 10
ΔH_f (0 K)   5.827 kcal/mol of atoms

---

# 10
Density functional theory data (PBE) for a relaxed structure of Ag2MoAu.

The structure in extended XYZ format:
```
4
Lattice="2.752 0.429 0.000 -0.421 2.753 0.000 0.000 0.000 8.858" Properties=species:S:1:pos:R:3 pbc="T T T"
Ag 0.000 0.000 4.461
Ag 0.000 0.000 8.825
Au 1.165 1.591 2.214
Mo 1.165 1.591 6.643
```

Values from the calculation:
Offset from the most stable computed form   56 meV/atom
SG   No. 65
ΔH_f (0 K)   6.598 kcal/mol of atoms

---

# 11
Density functional theory data (PBE) for a relaxed structure of Ag2MoAu.

The structure in extended XYZ format:
```
4
Lattice="5.812 0.003 0.005 2.930 5.019 -0.005 -3.597 -3.857 2.440" Properties=species:S:1:pos:R:3 pbc="T T T"
Mo 1.904 1.866 1.218
Ag 3.264 -0.688 1.223
Ag 0.015 0.009 0.000
Au 4.333 2.489 0.000
```

Values from the calculation:
Offset from the most stable computed form   260 meV/atom
SG   No. 44
ΔH_f (0 K)   11.300 kcal/mol of atoms

---

# 12
Density functional theory data (PBE) for a relaxed structure of AgMoAu2.

The structure in extended XYZ format:
```
4
Lattice="-0.571 -3.533 -2.929 0.147 -4.349 1.566 -3.866 -2.532 0.158" Properties=species:S:1:pos:R:3 pbc="T T T"
Au -3.218 -7.810 -0.904
Au -1.073 -2.603 -0.301
Mo 0.000 0.000 0.000
Ag -2.145 -5.207 -0.603
```

Values from the calculation:
Offset from the most stable computed form   281 meV/atom
SG   No. 225
ΔH_f (0 K)   9.508 kcal/mol of atoms

---

# 13
Density functional theory data (PBE) for a relaxed structure of Ag2MoAu.

The structure in extended XYZ format:
```
4
Lattice="-1.921 -0.958 -4.615 -0.422 -3.194 -3.940 -4.245 -2.371 1.570" Properties=species:S:1:pos:R:3 pbc="T T T"
Ag -2.360 -4.155 -8.526
Ag -3.277 -3.259 -3.522
Mo -1.647 -1.631 -1.746
Au -4.941 -4.893 -5.239
```

Values from the calculation:
Offset from the most stable computed form   136 meV/atom
SG   No. 12
ΔH_f (0 K)   8.436 kcal/mol of atoms

---

# 14
Density functional theory data (PBE) for a relaxed structure of AgMoAu2.

The structure in extended XYZ format:
```
4
Lattice="-2.235 1.063 -4.322 -2.784 -3.937 -1.248 0.225 2.588 4.249" Properties=species:S:1:pos:R:3 pbc="T T T"
Au 0.000 0.000 0.000
Au -2.534 -1.393 0.108
Mo -2.509 -1.437 -2.785
Ag -2.260 1.107 -1.429
```

Values from the calculation:
Offset from the most stable computed form   304 meV/atom
SG   No. 119
ΔH_f (0 K)   10.023 kcal/mol of atoms

---

# 15
Density functional theory data (PBE) for a relaxed structure of Ag2MoAu.

The structure in extended XYZ format:
```
4
Lattice="-1.049 4.790 0.276 -1.469 -0.190 -2.295 -4.313 -1.096 2.639" Properties=species:S:1:pos:R:3 pbc="T T T"
Mo -4.861 1.431 0.396
Ag -4.341 -1.097 2.544
Ag -2.863 -0.642 0.268
Au -1.970 2.074 0.224
```

Values from the calculation:
Offset from the most stable computed form   162 meV/atom
SG   No. 10
ΔH_f (0 K)   9.045 kcal/mol of atoms

---

# 16
Density functional theory data (PBE) for a relaxed structure of AgMoAu2.

The structure in extended XYZ format:
```
8
Lattice="7.500 0.000 0.000 0.000 7.500 0.000 3.750 3.750 2.816" Properties=species:S:1:pos:R:3 pbc="T T T"
Au 5.583 1.875 0.704
Au 9.375 9.333 2.112
Au 5.625 5.667 2.112
Au 1.917 5.625 0.704
Mo 3.750 3.750 0.000
Mo 3.750 7.500 1.408
Ag 7.500 3.750 1.408
Ag 0.000 0.000 0.000
```

Values from the calculation:
Offset from the most stable computed form   624 meV/atom
SG   No. 122
ΔH_f (0 K)   17.407 kcal/mol of atoms

---

# 17
Density functional theory data (PBE) for a relaxed structure of Ag2MoAu.

The structure in extended XYZ format:
```
4
Lattice="-9.408 -2.105 -1.244 -9.218 -2.646 1.585 -9.698 0.046 0.660" Properties=species:S:1:pos:R:3 pbc="T T T"
Mo -21.274 -3.534 0.752
Ag -0.029 -0.005 0.001
Ag -7.078 -1.176 0.250
Au -14.105 -2.343 0.499
```

Values from the calculation:
Offset from the most stable computed form   59 meV/atom
SG   No. 160
ΔH_f (0 K)   6.654 kcal/mol of atoms

---

# 18
Density functional theory data (PBE) for a relaxed structure of Ag2MoAu.

The structure in extended XYZ format:
```
4
Lattice="-0.548 0.020 -2.703 3.037 -2.799 -0.636 -3.955 -4.465 0.768" Properties=species:S:1:pos:R:3 pbc="T T T"
Ag 0.285 -2.472 -1.483
Ag -3.951 -4.461 0.767
Au -2.063 -2.329 0.401
Mo -1.669 -4.679 -1.104
```

Values from the calculation:
Offset from the most stable computed form   111 meV/atom
SG   No. 25
ΔH_f (0 K)   7.866 kcal/mol of atoms

---

# 19
Density functional theory data (PBE) for a relaxed structure of AgMoAu2.

The structure in extended XYZ format:
```
4
Lattice="2.785 0.000 0.000 0.000 5.025 0.000 0.000 0.000 5.025" Properties=species:S:1:pos:R:3 pbc="T T T"
Mo 1.393 2.513 0.000
Ag 1.393 0.000 2.513
Au 0.000 0.000 0.000
Au 0.000 2.513 2.513
```

Values from the calculation:
Offset from the most stable computed form   153 meV/atom
SG   No. 123
ΔH_f (0 K)   6.553 kcal/mol of atoms

---

# 20
Density functional theory data (PBE) for a relaxed structure of Ag2MoAu.

The structure in extended XYZ format:
```
4
Lattice="4.824 -0.042 0.000 1.035 4.712 0.000 -2.929 -2.335 3.040" Properties=species:S:1:pos:R:3 pbc="T T T"
Ag 0.517 2.356 1.520
Ag 0.000 0.000 0.000
Mo 2.412 -0.021 1.520
Au 2.929 2.335 0.000
```

Values from the calculation:
Offset from the most stable computed form   288 meV/atom
SG   No. 119
ΔH_f (0 K)   11.945 kcal/mol of atoms

---

Number 1: DOS(E_F) 2.00 states/eV/atom. Number 2: DOS(E_F) 0.64 states/eV/atom. Number 3: DOS(E_F) 0.89 states/eV/atom. Number 4: DOS(E_F) 0.97 states/eV/atom. Number 5: DOS(E_F) 0.75 states/eV/atom. Number 6: DOS(E_F) 2.21 states/eV/atom. Number 7: DOS(E_F) 0.34 states/eV/atom. Number 8: DOS(E_F) 0.95 states/eV/atom. Number 9: DOS(E_F) 0.59 states/eV/atom. Number 10: DOS(E_F) 0.75 states/eV/atom. Number 11: DOS(E_F) 1.02 states/eV/atom. Number 12: DOS(E_F) 1.75 states/eV/atom. Number 13: DOS(E_F) 0.74 states/eV/atom. Number 14: DOS(E_F) 0.94 states/eV/atom. Number 15: DOS(E_F) 0.76 states/eV/atom. Number 16: DOS(E_F) 0.51 states/eV/atom. Number 17: DOS(E_F) 1.02 states/eV/atom. Number 18: DOS(E_F) 0.47 states/eV/atom. Number 19: DOS(E_F) 0.78 states/eV/atom. Number 20: DOS(E_F) 1.00 states/eV/atom.